(1)
# PBEsol Ca3Mn2Ge3O12, relaxed
# VASP energy = -7.38 eV per atom
data_Ca3Mn2Ge3O12
_chemical_formula_sum 'Ca24 Mn16 Ge24 O96'
_cell_length_a 12.277
_cell_length_b 12.277
_cell_length_c 12.338
_cell_angle_alpha 90.00
_cell_angle_beta 90.00
_cell_angle_gamma 90.00
_space_group_name_H-M_alt 'I 41/a'
_space_group_IT_number 88
loop_
_space_group_symop_operation_xyz
'x,y,z'
'-x,-y,-z'
'-y+3/4,x+1/4,z+1/4'
'y+3/4,-x+1/4,-z+1/4'
'-x+1/2,-y,z+1/2'
'x+1/2,y,-z+1/2'
'y+3/4,-x+3/4,z+3/4'
'-y+3/4,x+3/4,-z+3/4'
'x+1/2,y+1/2,z+1/2'
'-x+1/2,-y+1/2,-z+1/2'
'-y+1/4,x+3/4,z+3/4'
'y+1/4,-x+3/4,-z+3/4'
'-x,-y+1/2,z'
'x,y+1/2,-z'
'y+1/4,-x+1/4,z+1/4'
'-y+1/4,x+1/4,-z+1/4'
loop_
_atom_site_label
_atom_site_type_symbol
_atom_site_fract_x
_atom_site_fract_y
_atom_site_fract_z
_atom_site_occupancy
Ca1 Ca 0.000 0.250 0.372 1
Ca2 Ca 0.125 0.497 0.750 1
Mn1 Mn 0.000 0.000 0.000 1
Mn2 Mn 0.000 0.000 0.500 1
Ge1 Ge 0.000 0.250 0.125 1
Ge2 Ge 0.000 0.250 0.625 1
Ge3 Ge 0.125 0.003 0.758 1
O1 O 0.031 0.054 0.857 1
O2 O 0.035 0.449 0.339 1
O3 O 0.048 0.352 0.035 1
O4 O 0.052 0.152 0.532 1
O5 O 0.143 0.463 0.547 1
O6 O 0.161 0.030 0.060 1

=====

(2)
# PBEsol VOF, relaxed
# VASP energy = -8.09 eV per atom
data_VOF
_chemical_formula_sum 'V6 O6 F6'
_cell_length_a 2.975
_cell_length_b 4.641
_cell_length_c 13.972
_cell_angle_alpha 90.00
_cell_angle_beta 90.00
_cell_angle_gamma 90.00
_space_group_name_H-M_alt 'P m n 21'
_space_group_IT_number 31
_space_group_name_Hall 'P 2ac -2'
loop_
_atom_site_label
_atom_site_type_symbol
_atom_site_fract_x
_atom_site_fract_y
_atom_site_fract_z
_atom_site_occupancy
V1 V 0.000 0.166 0.000 1
V2 V 0.000 0.269 0.332 1
V3 V 0.000 0.276 0.667 1
O1 O 0.000 0.540 0.231 1
O2 O 0.000 0.923 0.101 1
O3 O 0.000 0.986 0.434 1
F1 F 0.000 0.516 0.900 1
F2 F 0.000 0.578 0.562 1
F3 F 0.000 0.954 0.767 1

=====

(3)
# PBEsol ZrAgRh2, relaxed
# ΔE_f = -0.3792 eV per atom
data_ZrAgRh2
_chemical_formula_sum 'Zr2 Ag2 Rh4'
_cell_length_a 3.906
_cell_length_b 3.906
_cell_length_c 8.223
_cell_angle_alpha 90.00
_cell_angle_beta 90.00
_cell_angle_gamma 90.00
_space_group_name_H-M_alt 'I -4 m 2'
_space_group_IT_number 119
_space_group_name_Hall 'I -4 -2'
loop_
_atom_site_label
_atom_site_type_symbol
_atom_site_fract_x
_atom_site_fract_y
_atom_site_fract_z
_atom_site_occupancy
Zr1 Zr 0.000 0.000 0.000 1
Ag1 Ag 0.000 0.500 0.750 1
Rh1 Rh 0.000 0.000 0.500 1
Rh2 Rh 0.000 0.500 0.250 1

=====

(4)
# PBEsol ZrTlIr2F, relaxed
# VASP energy = -6.70 eV per atom
data_ZrTlIr2F
_chemical_formula_sum 'Zr1 Tl1 Ir2 F1'
_cell_length_a 4.947
_cell_length_b 4.947
_cell_length_c 3.997
_cell_angle_alpha 90.00
_cell_angle_beta 90.00
_cell_angle_gamma 90.00
_space_group_name_H-M_alt 'P 4/m m m'
_space_group_IT_number 123
_space_group_name_Hall '-P 4 2'
loop_
_atom_site_label
_atom_site_type_symbol
_atom_site_fract_x
_atom_site_fract_y
_atom_site_fract_z
_atom_site_occupancy
Zr1 Zr 0.000 0.000 0.000 1
Tl1 Tl 0.500 0.500 0.500 1
Ir1 Ir 0.000 0.500 0.000 1
F1 F 0.000 0.000 0.500 1

=====

(5)
# PBEsol MnAl3, relaxed
# ΔE_f = -0.1512 eV per atom
data_MnAl3
_chemical_formula_sum 'Mn2 Al6'
_cell_length_a 4.496
_cell_length_b 5.223
_cell_length_c 4.714
_cell_angle_alpha 90.00
_cell_angle_beta 90.00
_cell_angle_gamma 90.00
_space_group_name_H-M_alt 'P m m n'
_space_group_IT_number 59
loop_
_space_group_symop_operation_xyz
'x,y,z'
'-x,-y,-z'
'-x+1/2,-y+1/2,z'
'x+1/2,y+1/2,-z'
'x+1/2,-y,-z'
'-x+1/2,y,z'
'-x,y+1/2,-z'
'x,-y+1/2,z'
loop_
_atom_site_label
_atom_site_type_symbol
_atom_site_fract_x
_atom_site_fract_y
_atom_site_fract_z
_atom_site_occupancy
Mn1 Mn 0.250 0.250 0.153 1
Al1 Al 0.250 0.002 0.658 1
Al2 Al 0.250 0.750 0.141 1

=====

(6)
# PBEsol LiZn3C, relaxed
# ΔE_f = 0.5773 eV per atom
data_LiZn3C
_chemical_formula_sum 'Li1 Zn3 C1'
_cell_length_a 4.117
_cell_length_b 4.117
_cell_length_c 4.117
_cell_angle_alpha 90.00
_cell_angle_beta 90.00
_cell_angle_gamma 90.00
_space_group_name_H-M_alt 'P m -3 m'
_space_group_IT_number 221
_space_group_name_Hall '-P 4 2 3'
loop_
_atom_site_label
_atom_site_type_symbol
_atom_site_fract_x
_atom_site_fract_y
_atom_site_fract_z
_atom_site_occupancy
Li1 Li 0.000 0.000 0.000 1
Zn1 Zn 0.000 0.500 0.500 1
C1 C 0.500 0.500 0.500 1

=====

(7)
# PBEsol SrSnPdN2, relaxed
# VASP energy = -4.61 eV per atom
data_SrSnPdN2
_chemical_formula_sum 'Sr1 Sn1 Pd1 N2'
_cell_length_a 4.228
_cell_length_b 4.228
_cell_length_c 5.200
_cell_angle_alpha 90.00
_cell_angle_beta 90.00
_cell_angle_gamma 90.00
_space_group_name_H-M_alt 'P 4/m m m'
_space_group_IT_number 123
_space_group_name_Hall '-P 4 2'
loop_
_atom_site_label
_atom_site_type_symbol
_atom_site_fract_x
_atom_site_fract_y
_atom_site_fract_z
_atom_site_occupancy
Sr1 Sr 0.000 0.000 0.000 1
Sn1 Sn 0.500 0.500 0.000 1
Pd1 Pd 0.000 0.000 0.500 1
N1 N 0.000 0.500 0.500 1

=====

(8)
# PBEsol ScCuOs, relaxed
# E above lowest polymorph = 0.00 eV per formula unit
# ΔE_f = 0.0587 eV per atom
data_ScCuOs
_chemical_formula_sum 'Sc1 Cu1 Os1'
_cell_length_a 4.4144
_cell_length_b 4.4144
_cell_length_c 2.6615
_cell_angle_alpha 90.00
_cell_angle_beta 90.00
_cell_angle_gamma 120.00
_space_group_name_H-M_alt 'P 3 m 1'
_space_group_IT_number 156
_space_group_name_Hall 'P 3 -2"'
loop_
_atom_site_label
_atom_site_type_symbol
_atom_site_fract_x
_atom_site_fract_y
_atom_site_fract_z
_atom_site_occupancy
Sc1 Sc 0.0000 0.0000 0.0000 1
Cu1 Cu 0.6667 0.3333 0.3615 1
Os1 Os 0.3333 0.6667 0.5821 1

=====

Magnetization across the listed records, respectively: 8.00, 2.00, 0.00, 0.00, 1.87, 0.00, 1.28, 0.00 μB per formula unit.